First-principles (GGA-PBEsol) data for an optimized crystal structure of AlCo5, as listed in the Alexandria database.

Computed properties:
Crystal system: tetragonal
Energy relative to the lowest polymorph listed for this composition in meV/atom: 30
DOS at the Fermi energy in states/eV/cell: 6.780

a b c (Å): 2.565 2.565 9.800
angles (deg): 90.00 90.00 90.00
Sites, in units of the cell vectors:
Al 0.000 0.000 0.000
Co 0.000 0.000 0.333
Co 0.000 0.000 0.667
Co 0.500 0.500 0.173
Co 0.500 0.500 0.500
Co 0.500 0.500 0.827

***

First-principles (GGA-PBEsol) data for an optimized crystal structure of AlCo4, as listed in the Alexandria database.

Computed properties:
Crystal system: trigonal
Energy relative to the lowest polymorph listed for this composition in meV/atom: 401
DOS at the Fermi energy in states/eV/cell: 7.846

a b c (Å): 2.514 2.514 10.361
angles (deg): 90.00 90.00 120.00
Sites, in units of the cell vectors:
Al 0.000 0.000 0.000
Co 0.333 0.667 0.192
Co 0.333 0.667 0.408
Co 0.667 0.333 0.592
Co 0.667 0.333 0.808

***

First-principles (GGA-PBEsol) data for an optimized crystal structure of Al2Co, as listed in the Alexandria database.

Computed properties:
Crystal system: orthorhombic
Calculated total energy in eV per cell: -68.8
DOS at the Fermi energy in states/eV/cell: 8.723

a b c (Å): 5.054 3.906 7.792
angles (deg): 90.00 90.00 90.00
Sites, in units of the cell vectors:
Al 0.070 0.250 0.187
Al 0.169 0.250 0.540
Al 0.331 0.750 0.040
Al 0.430 0.750 0.687
Al 0.570 0.250 0.313
Al 0.669 0.250 0.960
Al 0.831 0.750 0.460
Al 0.930 0.750 0.813
Co 0.218 0.250 0.848
Co 0.282 0.750 0.348
Co 0.718 0.250 0.652
Co 0.782 0.750 0.152

***

First-principles (GGA-PBEsol) data for an optimized crystal structure of Al5Co24, as listed in the Alexandria database.

Computed properties:
Crystal system: cubic
Calculated total energy in eV per cell: -209.9
DOS at the Fermi energy in states/eV/cell: 27.364

a b c (Å): 7.435 7.435 7.435
angles (deg): 109.47 109.47 109.47
Sites, in units of the cell vectors:
Al 0.000 0.000 0.000
Al 0.000 0.000 0.372
Al 0.000 0.372 0.000
Al 0.372 0.000 0.000
Al 0.628 0.628 0.628
Co 0.000 0.322 0.607
Co 0.000 0.607 0.322
Co 0.000 0.626 0.808
Co 0.000 0.808 0.626
Co 0.182 0.374 0.374
Co 0.192 0.192 0.818
Co 0.192 0.818 0.192
Co 0.285 0.678 0.678
Co 0.322 0.000 0.607
Co 0.322 0.607 0.000
Co 0.374 0.182 0.374
Co 0.374 0.374 0.182
Co 0.393 0.393 0.715
Co 0.393 0.715 0.393
Co 0.607 0.000 0.322
Co 0.607 0.322 0.000
Co 0.626 0.000 0.808
Co 0.626 0.808 0.000
Co 0.678 0.285 0.678
Co 0.678 0.678 0.285
Co 0.715 0.393 0.393
Co 0.808 0.000 0.626
Co 0.808 0.626 0.000
Co 0.818 0.192 0.192

***

First-principles (GGA-PBEsol) data for an optimized crystal structure of Al2Co, as listed in the Alexandria database.

Computed properties:
Crystal system: trigonal
Calculated total energy in eV per cell: -16.6
DOS at the Fermi energy in states/eV/cell: 1.809

a b c (Å): 2.759 2.759 6.055
angles (deg): 90.00 90.00 120.00
Sites, in units of the cell vectors:
Al 0.333 0.667 0.302
Al 0.667 0.333 0.698
Co 0.000 0.000 0.000

***

First-principles (GGA-PBEsol) data for an optimized crystal structure of Al5Co2, as listed in the Alexandria database.

Computed properties:
Crystal system: hexagonal
Calculated total energy in eV per cell: -156.9
DOS at the Fermi energy in states/eV/cell: 4.072

a b c (Å): 7.606 7.606 7.523
angles (deg): 90.00 90.00 120.00
Sites, in units of the cell vectors:
Al 0.000 0.000 0.000
Al 0.000 0.000 0.500
Al 0.065 0.533 0.250
Al 0.194 0.389 0.560
Al 0.194 0.389 0.940
Al 0.194 0.806 0.560
Al 0.194 0.806 0.940
Al 0.389 0.194 0.060
Al 0.389 0.194 0.440
Al 0.467 0.533 0.250
Al 0.467 0.935 0.250
Al 0.533 0.065 0.750
Al 0.533 0.467 0.750
Al 0.611 0.806 0.560
Al 0.611 0.806 0.940
Al 0.806 0.194 0.060
Al 0.806 0.194 0.440
Al 0.806 0.611 0.060
Al 0.806 0.611 0.440
Al 0.935 0.467 0.750
Co 0.127 0.254 0.250
Co 0.127 0.873 0.250
Co 0.254 0.127 0.750
Co 0.333 0.667 0.750
Co 0.667 0.333 0.250
Co 0.746 0.873 0.250
Co 0.873 0.127 0.750
Co 0.873 0.746 0.750

***

First-principles (GGA-PBEsol) data for an optimized crystal structure of Al5Co4, as listed in the Alexandria database.

Computed properties:
Crystal system: tetragonal
Calculated total energy in eV per cell: -53.5
DOS at the Fermi energy in states/eV/cell: 6.940

a b c (Å): 5.684 5.684 5.684
angles (deg): 96.35 96.35 141.16
Sites, in units of the cell vectors:
Al 0.000 0.000 0.000
Al 0.326 0.326 0.653
Al 0.326 0.674 0.000
Al 0.674 0.326 0.000
Al 0.674 0.674 0.347
Co 0.000 0.337 0.337
Co 0.000 0.663 0.663
Co 0.337 0.000 0.337
Co 0.663 0.000 0.663

***

First-principles (GGA-PBEsol) data for an optimized crystal structure of AlCo, as listed in the Alexandria database.

Computed properties:
Crystal system: cubic
Calculated total energy in eV per cell: -38.9
DOS at the Fermi energy in states/eV/cell: 14.155

a b c (Å): 5.249 5.249 5.249
angles (deg): 90.00 90.00 90.00
Sites, in units of the cell vectors:
Al 0.000 0.000 0.000
Al 0.000 0.500 0.500
Al 0.500 0.000 0.500
Al 0.500 0.500 0.000
Co 0.250 0.250 0.250
Co 0.250 0.750 0.750
Co 0.750 0.250 0.750
Co 0.750 0.750 0.250

***

First-principles (GGA-PBEsol) data for an optimized crystal structure of AlCo, as listed in the Alexandria database.

Computed properties:
Crystal system: hexagonal
Calculated total energy in eV per cell: -24.7
DOS at the Fermi energy in states/eV/cell: 3.600

a b c (Å): 2.682 2.682 7.654
angles (deg): 90.00 90.00 120.00
Sites, in units of the cell vectors:
Al 0.000 0.000 0.000
Al 0.000 0.000 0.500
Co 0.333 0.667 0.250
Co 0.667 0.333 0.750

***

First-principles (GGA-PBEsol) data for an optimized crystal structure of AlCo5, as listed in the Alexandria database.

Computed properties:
Crystal system: orthorhombic
Energy relative to the lowest polymorph listed for this composition in meV/atom: 0
DOS at the Fermi energy in states/eV/cell: 16.644

a b c (Å): 3.505 10.505 3.488
angles (deg): 90.00 90.00 90.00
Sites, in units of the cell vectors:
Al 0.000 0.000 0.000
Al 0.500 0.500 0.000
Co 0.000 0.171 0.500
Co 0.000 0.327 0.000
Co 0.000 0.500 0.500
Co 0.000 0.673 0.000
Co 0.000 0.829 0.500
Co 0.500 0.000 0.500
Co 0.500 0.173 0.000
Co 0.500 0.329 0.500
Co 0.500 0.671 0.500
Co 0.500 0.827 0.000

***

First-principles (GGA-PBEsol) data for an optimized crystal structure of Al13Co4, as listed in the Alexandria database.

Computed properties:
Crystal system: monoclinic
Calculated total energy in eV per cell: -272.6
DOS at the Fermi energy in states/eV/cell: 17.190

a b c (Å): 8.540 8.540 12.312
angles (deg): 105.59 105.59 56.77
Sites, in units of the cell vectors:
Al 0.000 0.000 0.000
Al 0.026 0.026 0.670
Al 0.081 0.644 0.978
Al 0.083 0.658 0.610
Al 0.095 0.536 0.387
Al 0.102 0.543 0.169
Al 0.174 0.174 0.217
Al 0.210 0.210 0.734
Al 0.224 0.761 0.828
Al 0.239 0.776 0.172
Al 0.250 0.750 0.500
Al 0.255 0.255 0.522
Al 0.262 0.262 0.980
Al 0.342 0.917 0.390
Al 0.356 0.919 0.022
Al 0.404 0.404 0.710
Al 0.422 0.422 0.918
Al 0.435 0.435 0.327
Al 0.457 0.898 0.831
Al 0.464 0.905 0.613
Al 0.536 0.095 0.387
Al 0.543 0.102 0.169
Al 0.565 0.565 0.673
Al 0.578 0.578 0.082
Al 0.596 0.596 0.290
Al 0.644 0.081 0.978
Al 0.658 0.083 0.610
Al 0.738 0.738 0.020
Al 0.745 0.745 0.478
Al 0.750 0.250 0.500
Al 0.761 0.224 0.828
Al 0.776 0.239 0.172
Al 0.790 0.790 0.266
Al 0.826 0.826 0.783
Al 0.898 0.457 0.831
Al 0.905 0.464 0.613
Al 0.917 0.342 0.390
Al 0.919 0.356 0.022
Al 0.974 0.974 0.330
Co 0.100 0.100 0.518
Co 0.101 0.545 0.779
Co 0.102 0.102 0.876
Co 0.409 0.409 0.516
Co 0.417 0.417 0.115
Co 0.455 0.899 0.221
Co 0.545 0.101 0.779
Co 0.583 0.583 0.885
Co 0.591 0.591 0.484
Co 0.898 0.898 0.124
Co 0.899 0.455 0.221
Co 0.900 0.900 0.482

***

First-principles (GGA-PBEsol) data for an optimized crystal structure of AlCo5, as listed in the Alexandria database.

Computed properties:
Crystal system: monoclinic
Energy relative to the lowest polymorph listed for this composition in meV/atom: 16
DOS at the Fermi energy in states/eV/cell: 12.594

a b c (Å): 9.061 2.540 5.783
angles (deg): 90.00 105.56 90.00
Sites, in units of the cell vectors:
Al 0.000 0.000 0.000
Al 0.500 0.500 0.000
Co 0.046 0.000 0.593
Co 0.164 0.500 0.333
Co 0.218 0.500 0.924
Co 0.324 0.000 0.653
Co 0.375 0.000 0.269
Co 0.546 0.500 0.593
Co 0.664 0.000 0.333
Co 0.718 0.000 0.924
Co 0.824 0.500 0.653
Co 0.875 0.500 0.269

***

First-principles (GGA-PBEsol) data for an optimized crystal structure of AlCo, as listed in the Alexandria database.

Computed properties:
Crystal system: trigonal
Calculated total energy in eV per cell: -36.9
DOS at the Fermi energy in states/eV/cell: 6.211

a b c (Å): 2.683 2.683 11.495
angles (deg): 90.00 90.00 120.00
Sites, in units of the cell vectors:
Al 0.000 0.000 0.000
Al 0.333 0.667 0.667
Al 0.667 0.333 0.333
Co 0.000 0.000 0.500
Co 0.333 0.667 0.167
Co 0.667 0.333 0.833

***

First-principles (GGA-PBEsol) data for an optimized crystal structure of AlCo5, as listed in the Alexandria database.

Computed properties:
Crystal system: orthorhombic
Energy relative to the lowest polymorph listed for this composition in meV/atom: 21
DOS at the Fermi energy in states/eV/cell: 13.076

a b c (Å): 3.982 2.554 12.656
angles (deg): 90.00 90.00 90.00
Sites, in units of the cell vectors:
Al 0.000 0.000 0.000
Al 0.000 0.500 0.500
Co 0.000 0.000 0.328
Co 0.000 0.000 0.669
Co 0.000 0.500 0.169
Co 0.000 0.500 0.828
Co 0.500 0.000 0.215
Co 0.500 0.000 0.551
Co 0.500 0.000 0.880
Co 0.500 0.500 0.051
Co 0.500 0.500 0.380
Co 0.500 0.500 0.715

***

First-principles (GGA-PBEsol) data for an optimized crystal structure of AlCo, as listed in the Alexandria database.

Computed properties:
Crystal system: hexagonal
Calculated total energy in eV per cell: -23.7
DOS at the Fermi energy in states/eV/cell: 2.501

a b c (Å): 3.728 3.728 4.598
angles (deg): 90.00 90.00 120.00
Sites, in units of the cell vectors:
Al 0.333 0.667 0.250
Al 0.667 0.333 0.750
Co 0.000 0.000 0.000
Co 0.000 0.000 0.500

***

First-principles (GGA-PBEsol) data for an optimized crystal structure of Al13Co4, as listed in the Alexandria database.

Computed properties:
Crystal system: orthorhombic
Calculated total energy in eV per cell: -545.1
DOS at the Fermi energy in states/eV/cell: 33.718

a b c (Å): 12.306 14.311 8.125
angles (deg): 90.00 90.00 90.00
Sites, in units of the cell vectors:
Al 0.000 0.000 0.000
Al 0.000 0.500 0.251
Al 0.000 0.500 0.749
Al 0.029 0.134 0.222
Al 0.029 0.134 0.778
Al 0.045 0.683 0.222
Al 0.045 0.683 0.778
Al 0.054 0.923 0.500
Al 0.071 0.240 0.500
Al 0.114 0.256 0.000
Al 0.150 0.565 0.000
Al 0.153 0.827 0.000
Al 0.157 0.710 0.500
Al 0.158 0.368 0.290
Al 0.158 0.368 0.710
Al 0.160 0.525 0.500
Al 0.171 0.992 0.232
Al 0.171 0.992 0.768
Al 0.234 0.179 0.280
Al 0.234 0.179 0.720
Al 0.245 0.403 0.000
Al 0.255 0.903 0.500
Al 0.266 0.679 0.220
Al 0.266 0.679 0.780
Al 0.329 0.492 0.268
Al 0.329 0.492 0.732
Al 0.340 0.025 0.000
Al 0.342 0.868 0.210
Al 0.342 0.868 0.790
Al 0.343 0.210 0.000
Al 0.347 0.327 0.500
Al 0.350 0.065 0.500
Al 0.386 0.756 0.500
Al 0.429 0.740 0.000
Al 0.446 0.423 0.000
Al 0.455 0.183 0.278
Al 0.455 0.183 0.722
Al 0.471 0.634 0.278
Al 0.471 0.634 0.722
Al 0.500 0.000 0.249
Al 0.500 0.000 0.751
Al 0.500 0.500 0.500
Al 0.529 0.366 0.278
Al 0.529 0.366 0.722
Al 0.545 0.817 0.278
Al 0.545 0.817 0.722
Al 0.554 0.577 0.000
Al 0.571 0.260 0.000
Al 0.614 0.244 0.500
Al 0.650 0.935 0.500
Al 0.653 0.673 0.500
Al 0.657 0.790 0.000
Al 0.658 0.132 0.210
Al 0.658 0.132 0.790
Al 0.660 0.975 0.000
Al 0.671 0.508 0.268
Al 0.671 0.508 0.732
Al 0.734 0.321 0.220
Al 0.734 0.321 0.780
Al 0.745 0.097 0.500
Al 0.755 0.597 0.000
Al 0.766 0.821 0.280
Al 0.766 0.821 0.720
Al 0.829 0.008 0.232
Al 0.829 0.008 0.768
Al 0.840 0.475 0.500
Al 0.842 0.632 0.290
Al 0.842 0.632 0.710
Al 0.843 0.290 0.500
Al 0.847 0.173 0.000
Al 0.850 0.435 0.000
Al 0.886 0.744 0.000
Al 0.929 0.760 0.500
Al 0.946 0.077 0.500
Al 0.955 0.317 0.222
Al 0.955 0.317 0.778
Al 0.971 0.866 0.222
Al 0.971 0.866 0.778
Co 0.019 0.399 0.500
Co 0.049 0.410 0.000
Co 0.145 0.084 0.500
Co 0.157 0.823 0.278
Co 0.157 0.823 0.722
Co 0.163 0.101 0.000
Co 0.337 0.601 0.500
Co 0.343 0.323 0.222
Co 0.343 0.323 0.778
Co 0.355 0.584 0.000
Co 0.451 0.910 0.500
Co 0.481 0.899 0.000
Co 0.519 0.101 0.000
Co 0.549 0.090 0.500
Co 0.645 0.416 0.000
Co 0.657 0.677 0.222
Co 0.657 0.677 0.778
Co 0.663 0.399 0.500
Co 0.837 0.899 0.000
Co 0.843 0.177 0.278
Co 0.843 0.177 0.722
Co 0.855 0.916 0.500
Co 0.951 0.590 0.000
Co 0.981 0.601 0.500

***

First-principles (GGA-PBEsol) data for an optimized crystal structure of AlCo5, as listed in the Alexandria database.

Computed properties:
Crystal system: hexagonal
Energy relative to the lowest polymorph listed for this composition in meV/atom: 5
DOS at the Fermi energy in states/eV/cell: 7.364

a b c (Å): 4.291 4.291 4.023
angles (deg): 90.00 90.00 120.00
Sites, in units of the cell vectors:
Al 0.000 0.000 0.000
Co 0.000 0.660 0.500
Co 0.333 0.667 0.000
Co 0.340 0.340 0.500
Co 0.660 0.000 0.500
Co 0.667 0.333 0.000